Below is a PBEsol-optimized structure of SbIrOs2, with properties calculated at the meta-GGA SCAN level.

```
4
Lattice="2.793 0.000 0.000 -1.396 2.439 0.000 0.000 0.000 9.548" Properties=species:S:1:pos:R:3 pbc="T T T"
Ir 1.396 0.000 0.000
Os 0.000 0.000 7.310
Os 0.000 0.000 2.238
Sb 1.396 0.000 4.774
```

Values from the calculation:
Formation energy without anion corrections ... 24.2 kcal/mol of atoms
Space group ... Cmmm
Total DFT energy (no corrections) ... -2.2778 hartree per atom